# 1
4
Lattice="2.1561 0.0000 9.3607 -1.0780 1.8672 9.3607 -1.0780 -1.8672 9.3607" Properties=species:S:1:pos:R:3 comment="MnSbTe2, relaxed, DFT PBE" energy_ev_per_cell=-19.54 m_tot_mub_per_cell=3.2 e_form_raw_ev_per_atom=0.0081 pbc="T T T"
Te 0.0000 0.0000 24.9974
Te 0.0000 0.0000 3.0848
Sb 0.0000 0.0000 0.0000
Mn 0.0000 0.0000 14.0411

***

# 2
18
Lattice="-0.5655 1.0509 -3.8795 -5.4511 -7.3628 0.9233 -10.5583 8.2915 3.7850" Properties=species:S:1:pos:R:3 comment="PaMnTl2S5, relaxed, DFT PBE" energy_ev_per_cell=-103.34 m_tot_mub_per_cell=8.0 e_form_raw_ev_per_atom=-0.8484 pbc="T T T"
Tl -13.4583 2.2617 0.4509
Tl -4.9229 1.1364 1.0253
Tl -8.0755 4.1587 2.3036
Tl -6.6053 -3.6665 -2.1538
Pa -2.7691 -2.6338 -0.3099
Pa -9.2023 0.9983 -0.5116
Mn -9.4488 -2.3384 0.7437
Mn -10.8762 7.2631 1.4294
S -4.3545 -1.1178 -1.7914
S -8.7429 -4.2825 0.1142
S -0.7854 -0.7290 -0.0830
S -7.3345 2.6948 -0.3243
S -10.1895 1.5025 1.8922
S -10.7202 -1.2723 -0.9055
S -7.7132 -0.7615 0.9179
S -8.7650 6.9947 1.0490
S -4.1001 -4.7519 -0.6896
S -12.1136 5.2948 1.0766

***

# 3
10
Lattice="-2.7288 1.8074 -2.3808 -2.9807 -1.4029 2.3513 0.5495 8.1623 5.5666" Properties=species:S:1:pos:R:3 comment="Pa2AlGa3Ni4, relaxed, DFT PBE" e_form_ev_per_atom=-0.4791 energy_ev_per_cell=-59.73 m_tot_mub_per_cell=0.0 pbc="T T T"
Ni -1.2907 2.2647 3.1985
Ni -1.0146 6.0999 2.3534
Ni 0.0000 0.0000 0.0000
Ni -2.8547 0.2023 -0.0148
Ga -1.4204 0.3378 1.8844
Ga 0.2748 4.0811 2.7833
Ga -0.8848 8.0267 3.6674
Al -2.5800 4.2834 2.7685
Pa -1.0744 5.4775 5.3896
Pa -1.2309 2.8871 0.1622

***

# 4
4
Lattice="-3.3172 -3.1204 -0.5025 -2.7368 -3.0256 2.0855 -3.6609 2.5625 0.7271" Properties=species:S:1:pos:R:3 comment="Co2RuPt, relaxed, DFT PBE" e_form_ev_per_atom=0.0805 energy_ev_per_cell=-29.21 m_tot_mub_per_cell=3.2 de_polymorph_ev_per_atom=0.0152 pbc="T T T"
Pt -4.8756 -1.7630 1.1581
Ru -2.3945 -0.9665 0.5725
Co -7.2908 -2.6244 1.7313
Co -3.6724 2.5410 0.7305

***

# 5
4
Lattice="-2.8128 3.0094 -3.1801 -4.8841 1.2733 1.2671 -1.1412 4.8872 1.3763" Properties=species:S:1:pos:R:3 comment="EuErMgPd, relaxed, DFT PBE" e_form_ev_per_atom=-0.3203 energy_ev_per_cell=-22.91 m_tot_mub_per_cell=7.0 pbc="T T T"
Pd -4.4191 4.5850 -0.2684
Mg 0.0000 0.0000 0.0000
Eu -2.2095 2.2925 -0.1342
Er -6.6286 6.8775 -0.4025

***

# 6
24
Lattice="-2.4496 -2.3196 2.2606 5.2925 0.3621 6.1065 -8.6885 15.6120 6.6047" Properties=species:S:1:pos:R:3 comment="Ho4SbRh, relaxed, DFT PBE" energy_ev_per_cell=-136.57 m_tot_mub_per_cell=0.0 de_polymorph_ev_per_atom=0.0000 e_form_raw_ev_per_atom=-0.7262 pbc="T T T"
Rh -1.3850 8.2662 8.8050
Rh -7.5223 14.3581 8.4055
Rh -4.4606 5.3883 6.1668
Rh 1.6767 -0.7036 6.5663
Sb -0.8723 2.4751 3.4182
Sb -6.5700 9.1125 7.7024
Sb -4.9733 11.1794 11.5535
Sb 0.7244 4.5420 7.2693
Ho -2.9444 5.0045 3.7683
Ho -7.3620 11.7294 9.5295
Ho -1.1831 5.5542 9.8885
Ho -4.1400 7.3096 8.4857
Ho -1.1910 0.4842 1.0300
Ho -3.9888 10.7949 8.5783
Ho -4.6625 8.1003 5.0833
Ho -5.4447 14.4418 10.7427
Ho -2.9012 8.6500 11.2034
Ho -1.7057 6.3449 6.4860
Ho -0.4009 -0.7874 4.2290
Ho -1.8568 2.8595 6.3934
Ho 1.3780 1.9829 8.9993
Ho -7.2236 11.6716 5.9725
Ho -4.6546 13.1703 13.9418
Ho 1.5164 1.9250 5.4423

***

# 7
16
Lattice="-2.7604 7.0809 -3.6589 3.7526 -2.3562 -7.1772 -5.4508 -5.1503 3.7241" Properties=species:S:1:pos:R:3 comment="Rb2TmInS4, relaxed, DFT PBE" energy_ev_per_cell=-71.38 m_tot_mub_per_cell=0.0 e_form_raw_ev_per_atom=-1.2543 pbc="T T T"
S -4.6032 -1.2325 -4.4910
S -3.0481 -5.2926 -2.3680
S -2.1431 -1.3541 -1.0598
S -3.9130 1.9688 -3.0024
S -1.4106 4.8671 -4.7440
S -2.3155 0.9284 -6.0523
S 0.1446 0.8068 -2.6209
S -0.5457 -2.3944 -4.1095
In -2.2293 -0.2129 -3.5560
In -8.2112 1.9305 0.0652
Rb -2.7254 -2.5752 1.8620
Rb 0.4961 2.3624 -5.4180
Rb -4.1056 0.9653 0.0326
Rb -1.3802 3.5404 -1.8295
Tm -3.6095 3.3276 -5.3854
Tm 1.8763 -1.1781 -3.5886

***

# 8
4
Lattice="-2.9956 2.6637 3.6364 -1.4914 -4.7059 2.2185 6.4065 1.2422 0.3400" Properties=species:S:1:pos:R:3 comment="Ca3Ho, relaxed, DFT PBE" e_form_ev_per_atom=0.1476 energy_ev_per_cell=-9.99 m_tot_mub_per_cell=0.0 de_polymorph_ev_per_atom=0.0242 pbc="T T T"
Ho 0.0000 0.0000 0.0000
Ca 1.3358 -2.2424 2.7430
Ca 0.5837 1.4424 3.4519
Ca -2.2435 -1.0211 2.9275